Density functional theory data (PBE) for crystalline TbHIr at its relaxed geometry.

Calculated values
Calculated total energy, eV per atom: -5.866
M_tot, μB/f.u.: 0.0

a = 3.1435 Å, b = 10.4358 Å, c = 22.4120 Å
α = 90.00°, β = 90.00°, γ = 90.00°
Space group Fddd (No. 70, origin choice 2)
Inequivalent atoms, fractional coordinates:
Tb 0.1250 0.1250 0.0414 (multiplicity 16)
H 0.1250 0.2602 0.6250 (multiplicity 16)
Ir 0.1250 0.1250 0.4288 (multiplicity 16)


Density functional theory data (PBE) for crystalline TbTlH8Ir2 at its relaxed geometry.

Calculated values
Calculated total energy, eV per atom: -4.380
M_tot, μB/f.u.: 0.0

a = 9.3169 Å, b = 4.3597 Å, c = 6.0636 Å
α = 90.00°, β = 105.90°, γ = 90.00°
Space group C2/m (No. 12)
Inequivalent atoms, fractional coordinates:
Tb 0.0000 0.0000 0.0000 (multiplicity 2)
Tl 0.0000 0.5000 0.5000 (multiplicity 2)
H 0.1075 0.5000 0.0596 (multiplicity 4)
H 0.1751 0.0000 0.3911 (multiplicity 4)
H 0.1831 0.2391 0.8138 (multiplicity 8)
Ir 0.2320 0.5000 0.3129 (multiplicity 4)


Density functional theory data (PBE) for crystalline TcHIr2 at its relaxed geometry.

Calculated values
Calculated total energy, eV per atom: -7.155
M_tot, μB/f.u.: 0.0

a = 5.9143 Å, b = 5.9143 Å, c = 5.9143 Å
α = 90.00°, β = 90.00°, γ = 90.00°
Space group Fm-3m (No. 225)
Inequivalent atoms, fractional coordinates:
Tc 0.0000 0.0000 0.0000 (multiplicity 4)
H 0.0000 0.0000 0.5000 (multiplicity 4)
Ir 0.2500 0.2500 0.2500 (multiplicity 8)


Density functional theory data (PBE) for crystalline Tc2H2Ir at its relaxed geometry.

Calculated values
Calculated total energy, eV per atom: -6.973
M_tot, μB/f.u.: 1.5

a = 3.4551 Å, b = 3.4551 Å, c = 8.3451 Å
α = 90.00°, β = 90.00°, γ = 90.00°
Space group I4/mmm (No. 139)
Inequivalent atoms, fractional coordinates:
Tc 0.0000 0.0000 0.1576 (multiplicity 4)
H 0.0000 0.5000 0.2500 (multiplicity 4)
Ir 0.0000 0.0000 0.5000 (multiplicity 2)